MnRe3Rh | PBE | relaxed

a b c (Å): 4.374 4.374 4.374
angles (deg): 90.00 90.00 90.00
Space group Pm-3m (No. 221)
Inequivalent atoms, fractional coordinates:
Mn 0.000 0.000 0.000 x1
Re 0.000 0.000 0.500 x3
Rh 0.500 0.500 0.500 x1

**Total magnetization**: 0.0 μB per formula unit
**Calculated volume**: 16.73 Å³ per atom
**ΔH_f (0 K)**: 1.473 eV per atom
**Polymorph energy (0 for the lowest one)**: 0 meV per atom
**Crystal system**: cubic

***

Pr5Tm3S8 | PBE | relaxed

a b c (Å): 7.9450 7.9450 20.0500
angles (deg): 90.00 90.00 120.00
Space group R-3m (No. 166, hexagonal axes)
Inequivalent atoms, fractional coordinates:
Pr 0.0000 0.0000 0.0000 x3
Pr 0.0000 0.0000 0.5000 x3
Pr 0.0000 0.5000 0.0000 x9
Tm 0.0000 0.5000 0.5000 x9
S 0.0000 0.0000 0.2414 x6
S 0.0117 0.5058 0.7562 x18

**Total magnetization**: 0.0 μB per formula unit
**Calculated volume**: 22.83 Å³ per atom
**Formation energy without anion corrections**: -31.747 eV/f.u.
**Crystal system**: trigonal

***

TiRe5W4 | PBE | relaxed

a b c (Å): 3.137 3.137 15.758
angles (deg): 90.00 90.00 90.00
Space group P4/mmm (No. 123)
Inequivalent atoms, fractional coordinates:
Ti 0.000 0.000 0.000 x1
Re 0.500 0.500 0.100 x2
Re 0.500 0.500 0.300 x2
Re 0.500 0.500 0.500 x1
W 0.000 0.000 0.196 x2
W 0.000 0.000 0.399 x2

**Total magnetization**: 0.0 μB per formula unit
**Calculated volume**: 15.51 Å³ per atom
**ΔH_f (0 K)**: -0.080 eV per atom
**Crystal system**: tetragonal

***

Al4Fe2Pt | PBE | relaxed

a b c (Å): 5.850 5.850 5.806
angles (deg): 90.00 90.00 90.00
Space group I4/mmm (No. 139)
Inequivalent atoms, fractional coordinates:
Al 0.250 0.250 0.250 x8
Fe 0.000 0.500 0.000 x4
Pt 0.000 0.000 0.000 x2

**Total magnetization**: 0.0 μB per formula unit
**Calculated volume**: 14.19 Å³ per atom
**ΔH_f (0 K)**: -0.459 eV per atom
**Crystal system**: tetragonal

***

TiInIrRh | PBE | relaxed

a b c (Å): 4.241 4.241 7.086
angles (deg): 90.00 90.00 90.00
Space group I-4m2 (No. 119)
Inequivalent atoms, fractional coordinates:
Ti 0.000 0.000 0.000 x2
In 0.000 0.000 0.500 x2
Ir 0.000 0.500 0.250 x2
Rh 0.000 0.500 0.750 x2

**Total magnetization**: 0.0 μB per formula unit
**Calculated volume**: 15.93 Å³ per atom
**ΔH_f (0 K)**: -0.621 eV per atom
**Crystal system**: tetragonal

***

TlW | PBE | relaxed

a b c (Å): 4.922 2.937 5.440
angles (deg): 90.00 90.00 90.00
Space group Pmma (No. 51)
Inequivalent atoms, fractional coordinates:
Tl 0.250 0.000 0.155 x2
W 0.250 0.500 0.627 x2

**Total magnetization**: 0.0 μB per formula unit
**Calculated volume**: 19.66 Å³ per atom
**ΔH_f (0 K)**: 1.186 eV per atom
**Polymorph energy (0 for the lowest one)**: 562 meV per atom
**Crystal system**: orthorhombic

***

Ca2NbGeMo | PBE | relaxed

a b c (Å): 5.452 5.452 5.005
angles (deg): 90.00 90.00 90.00
Space group P4/mmm (No. 123)
Inequivalent atoms, fractional coordinates:
Ca 0.000 0.500 0.000 x2
Nb 0.000 0.000 0.500 x1
Ge 0.000 0.000 0.000 x1
Mo 0.500 0.500 0.500 x1

**Total magnetization**: 2.1 μB per formula unit
**Calculated volume**: 29.75 Å³ per atom
**ΔH_f (0 K)**: 0.983 eV per atom
**Crystal system**: tetragonal

***

Zr2TlMoH | PBE | relaxed

a b c (Å): 4.698 4.698 3.817
angles (deg): 90.00 90.00 90.00
Space group P4/mmm (No. 123)
Inequivalent atoms, fractional coordinates:
Zr 0.000 0.500 0.000 x2
Tl 0.000 0.000 0.500 x1
Mo 0.500 0.500 0.500 x1
H 0.500 0.500 0.000 x1

**Total magnetization**: 0.0 μB per formula unit
**Calculated volume**: 16.85 Å³ per atom
**Crystal system**: tetragonal
**Total DFT energy (no corrections)**: -6.840 eV per atom